Record 1
DFT (GGA-PBE) results for a geometry-optimized Cr2HgGe2 structure.

a b c (Å): 3.718 3.718 12.605
angles (deg): 90.00 90.00 90.00
Fractional coordinates of all 10 atoms:
Cr  0.000  0.000  0.108
Cr  0.000  0.000  0.892
Cr  0.500  0.500  0.392
Cr  0.500  0.500  0.608
Hg  0.000  0.000  0.500
Hg  0.500  0.500  0.000
Ge  0.000  0.500  0.250
Ge  0.000  0.500  0.750
Ge  0.500  0.000  0.250
Ge  0.500  0.000  0.750

Output
E above lowest polymorph = 0.0702 eV per atom
formation enthalpy at 0 K = 0.359 eV per atom

Record 2
DFT (GGA-PBE) results for a geometry-optimized YTmTl2Se4 structure.

a b c (Å): 7.212 4.163 8.137
angles (deg): 90.00 107.17 90.00
Fractional coordinates of all 8 atoms:
Y  0.000  0.000  0.000
Tm  0.500  0.500  0.000
Tl  0.000  0.500  0.500
Tl  0.500  0.000  0.500
Se  0.238  0.500  0.204
Se  0.269  0.000  0.798
Se  0.731  0.000  0.202
Se  0.762  0.500  0.796

Output
formation energy without anion corrections = -134 kJ/mol of atoms

Record 3
DFT (GGA-PBE) results for a geometry-optimized SiB2 structure.

a b c (Å): 10.355 3.018 3.758
angles (deg): 90.00 93.20 90.00
Fractional coordinates of all 12 atoms:
Si  0.159  0.000  0.163
Si  0.341  0.500  0.837
Si  0.659  0.500  0.163
Si  0.841  0.000  0.837
B  0.072  0.000  0.635
B  0.138  0.500  0.783
B  0.362  0.000  0.217
B  0.428  0.500  0.365
B  0.572  0.500  0.635
B  0.638  0.000  0.783
B  0.862  0.500  0.217
B  0.928  0.000  0.365

Output
E above lowest polymorph = 0.0924 eV per atom
formation energy without anion corrections = 27 kJ/mol of atoms

Record 4
DFT (GGA-PBE) results for a geometry-optimized Nd8SiNi2 structure.

a b c (Å): 7.703 7.703 6.377
angles (deg): 100.46 100.46 114.38
Fractional coordinates of all 11 atoms:
Nd  0.000  0.000  0.000
Nd  0.001  0.269  0.561
Nd  0.139  0.560  0.170
Nd  0.269  0.001  0.561
Nd  0.434  0.699  0.777
Nd  0.560  0.139  0.170
Nd  0.699  0.434  0.777
Nd  0.718  0.718  0.372
Si  0.357  0.357  0.379
Ni  0.045  0.664  0.689
Ni  0.664  0.045  0.689

Output
formation energy without anion corrections = -11 kJ/mol of atoms

Record 5
DFT (GGA-PBE) results for a geometry-optimized CaSnRhO6 structure.

a b c (Å): 5.348 5.348 9.993
angles (deg): 90.00 90.00 120.00
Fractional coordinates of all 18 atoms:
Ca  0.000  0.000  0.000
Ca  0.000  0.000  0.500
Sn  0.333  0.667  0.250
Sn  0.667  0.333  0.750
Rh  0.333  0.667  0.750
Rh  0.667  0.333  0.250
O  0.018  0.374  0.640
O  0.018  0.644  0.860
O  0.356  0.374  0.860
O  0.356  0.982  0.640
O  0.374  0.018  0.140
O  0.374  0.356  0.360
O  0.626  0.644  0.640
O  0.626  0.982  0.860
O  0.644  0.018  0.360
O  0.644  0.626  0.140
O  0.982  0.356  0.140
O  0.982  0.626  0.360

Output
formation energy without anion corrections = -133 kJ/mol of atoms

Record 6
DFT (GGA-PBE) results for a geometry-optimized BiSb2Se structure.

a b c (Å): 4.350 4.350 12.517
angles (deg): 90.00 90.00 90.00
Fractional coordinates of all 8 atoms:
Bi  0.000  0.000  0.000
Bi  0.500  0.500  0.500
Sb  0.000  0.000  0.254
Sb  0.000  0.000  0.746
Sb  0.500  0.500  0.246
Sb  0.500  0.500  0.754
Se  0.000  0.000  0.500
Se  0.500  0.500  0.000

Output
E above lowest polymorph = 0.0000 eV per atom
formation energy without anion corrections = -5 kJ/mol of atoms

Record 7
DFT (GGA-PBE) results for a geometry-optimized RbAgSnF6 structure.

a b c (Å): 6.183 6.183 11.040
angles (deg): 90.00 90.00 120.00
Fractional coordinates of all 18 atoms:
Rb  0.000  0.000  0.000
Rb  0.000  0.000  0.500
Ag  0.333  0.667  0.250
Ag  0.667  0.333  0.750
Sn  0.333  0.667  0.750
Sn  0.667  0.333  0.250
F  0.060  0.403  0.647
F  0.060  0.657  0.853
F  0.343  0.403  0.853
F  0.343  0.940  0.647
F  0.403  0.060  0.147
F  0.403  0.343  0.353
F  0.597  0.657  0.647
F  0.597  0.940  0.853
F  0.657  0.060  0.353
F  0.657  0.597  0.147
F  0.940  0.343  0.147
F  0.940  0.597  0.353

Output
formation energy without anion corrections = -224 kJ/mol of atoms